1.
The following is a PBE-GGA calculation of crystalline AcSmDy3Tm at its relaxed geometry, from Alexandria via LeMat-Bulk.

Results
Symmetry: C2/m, No. 12
M_tot (μB per cell): 0.0
E_form (eV/atom): 0.23

Cell and atoms, written as POSCAR:
```
AcSmDy3Tm
1.0
5.656 0.000 0.000
-2.828 9.477 1.453
0.000 -1.403 7.626
Ac Sm Dy Tm
2 2 6 2
Cartesian
0.000 5.482 8.499
2.828 2.592 0.580
0.000 0.507 2.390
2.828 7.567 6.690
2.828 5.943 3.216
2.828 4.251 6.541
0.000 8.569 3.701
0.000 3.823 2.539
2.828 -0.495 5.378
0.000 2.131 5.863
2.828 2.312 3.852
0.000 5.762 5.228
```

***

2.
The following is a PBE-GGA calculation of crystalline AcSmDy2Tm4 at its relaxed geometry, from Alexandria via LeMat-Bulk.

Results
Symmetry: Pmmm, No. 47
M_tot (μB per cell): 0.0
E_form (eV/atom): 0.05

Cell and atoms, written as POSCAR:
```
AcSmDy2Tm4
1.0
5.123 0.000 0.000
0.000 4.974 1.056
0.000 2.895 10.824
Ac Sm Dy Tm
1 1 2 4
Cartesian
2.561 2.487 0.528
0.000 3.935 5.940
0.000 2.895 10.824
2.561 1.448 5.412
0.000 5.917 8.841
5.123 1.953 3.040
2.561 4.438 3.575
2.561 3.431 8.305
```

***

What is the E_form in the first record? 0.23 eV/atom